A geometry-optimized LiTaBe structure. Source: Alexandria via LeMat-Bulk, functional GGA-PBE.

```
6
Lattice="2.7725 0.0000 0.0000 0.0000 2.7725 0.0000 0.0000 0.0000 11.1411" Properties=species:S:1:pos:R:3 pbc="T T T"
Li 0.0000 0.0000 0.0000
Li 1.3863 1.3863 5.5705
Ta 0.0000 0.0000 7.9289
Ta 1.3863 1.3863 2.3583
Be 0.0000 0.0000 3.9625
Be 1.3863 1.3863 9.5330
```

Values from the calculation:
Energy relative to the elements (eV per atom): 0.227
SG: I4mm (107)
Offset from the most stable computed form (eV per atom): 0.098
Size of the total moment (μB per formula unit): 0.0
Density of states at the Fermi level (states/eV/f.u.): 1.60
E (eV/cell): -33.626